# 1
12
Lattice="4.157 0.000 0.000 -2.079 3.600 0.000 0.000 0.000 14.573" Properties=species:S:1:pos:R:3 comment="PmCo2Ru PBE relaxed" space_group="No. 166" delta_e_f_mev_per_atom=-25 pbc="T T T"
Pm 0.000 0.000 0.000
Pm 0.000 2.400 9.716
Pm 2.079 1.200 4.858
Co 0.000 0.000 2.786
Co 0.000 0.000 11.788
Co 0.000 2.400 6.930
Co 0.000 2.400 12.501
Co 2.079 1.200 2.072
Co 2.079 1.200 7.643
Ru 0.000 0.000 7.287
Ru 0.000 2.400 2.429
Ru 2.079 1.200 12.144

# 2
12
Lattice="6.990 -2.938 0.000 6.990 2.938 0.000 -6.190 0.000 8.951" Properties=species:S:1:pos:R:3 comment="AcNd7Al4 PBE relaxed" space_group="No. 12" delta_e_f_mev_per_atom=-29 pbc="T T T"
Ac 0.000 0.000 0.000
Nd -1.483 0.000 3.453
Nd -2.501 0.000 7.862
Nd 1.995 0.000 3.293
Nd 6.990 0.000 0.000
Nd 5.795 0.000 5.658
Nd 10.292 0.000 1.089
Nd 9.274 0.000 5.498
Al 0.350 0.000 5.995
Al 4.796 0.000 2.150
Al 2.994 0.000 6.801
Al 7.440 0.000 2.956

# 3
6
Lattice="3.306 0.000 0.000 0.000 3.306 0.000 0.000 0.000 8.111" Properties=species:S:1:pos:R:3 comment="LiMoW PBE relaxed" space_group="No. 107" delta_e_f_mev_per_atom=477 e_above_lowest_polymorph_ev_per_fu=0.42 pbc="T T T"
Li 0.000 0.000 0.000
Li 1.653 1.653 4.055
Mo 0.000 0.000 2.690
Mo 1.653 1.653 6.746
W 0.000 0.000 5.435
W 1.653 1.653 1.379

# 4
14
Lattice="3.105 -8.858 0.000 3.105 8.858 0.000 -1.921 0.000 8.575" Properties=species:S:1:pos:R:3 comment="PrY5Th PBE relaxed" space_group="No. 15" delta_e_f_mev_per_atom=195 pbc="T T T"
Pr 1.665 8.643 6.431
Pr 2.625 -8.643 2.144
Y 2.291 6.068 0.344
Y 1.165 3.303 3.036
Y 2.958 6.068 3.944
Y 1.665 2.602 6.431
Y 0.205 -3.303 7.324
Y 4.084 3.303 1.251
Y 2.625 -2.602 2.144
Y 1.331 -6.068 4.631
Y 3.124 -3.303 5.539
Y 1.998 -6.068 8.232
Th 3.105 0.000 0.000
Th 2.145 0.000 4.288